# 1
Entry from Alexandria: a relaxed NbPtAu3 crystal (GGA-PBE).

excess energy over the best structure of this formula in the dataset: 295.4 meV/atom
total DFT energy (no corrections): -3.76 eV per atom
magnetic moment: 0.0 μB/cell
formation energy: 7.14 eV per formula unit
theoretical density: 11.4 Mg/m³
space-group type: Pm-3m (221)

Geometry as CIF:
```
data_NbPtAu3
_cell_length_a 5.043
_cell_length_b 5.043
_cell_length_c 5.043
_cell_angle_alpha 90.00
_cell_angle_beta 90.00
_cell_angle_gamma 90.00
_symmetry_space_group_name_H-M 'P 1'
_symmetry_Int_Tables_number 1
_symmetry_space_group_name_Hall 'P 1'
loop_
_atom_site_label
_atom_site_fract_x
_atom_site_fract_y
_atom_site_fract_z
Nb1 0.000 0.000 0.000
Pt1 0.500 0.500 0.500
Au1 0.000 0.000 0.500
Au2 0.000 0.500 0.000
Au3 0.500 0.000 0.000
```


# 2
Entry from Alexandria: a relaxed PmNd5Y2Tm crystal (GGA-PBE).

total DFT energy (no corrections): -4.97 eV per atom
magnetic moment: 0.0 μB/cell
formation energy: 1.24 eV per formula unit
theoretical density: 6.4 Mg/m³
space-group type: Cmc2_1 (36)

Geometry as CIF:
```
data_PmNd5Y2Tm
_cell_length_a 10.632
_cell_length_b 10.632
_cell_length_c 10.763
_cell_angle_alpha 90.00
_cell_angle_beta 90.00
_cell_angle_gamma 149.00
_symmetry_space_group_name_H-M 'P 1'
_symmetry_Int_Tables_number 1
_symmetry_space_group_name_Hall 'P 1'
loop_
_atom_site_label
_atom_site_fract_x
_atom_site_fract_y
_atom_site_fract_z
Pm1 0.202 0.798 0.500
Pm2 0.798 0.202 0.000
Nd1 0.017 0.983 0.512
Nd2 0.282 0.718 0.800
Nd3 0.296 0.704 0.194
Nd4 0.392 0.608 0.515
Nd5 0.481 0.519 0.236
Nd6 0.519 0.481 0.736
Nd7 0.608 0.392 0.015
Nd8 0.704 0.296 0.694
Nd9 0.718 0.282 0.300
Nd10 0.983 0.017 0.012
Y1 0.110 0.890 0.229
Y2 0.116 0.884 0.807
Y3 0.884 0.116 0.307
Y4 0.890 0.110 0.729
Tm1 0.409 0.591 0.954
Tm2 0.591 0.409 0.454
```


# 3
Entry from Alexandria: a relaxed Y2ThTi crystal (GGA-PBE).

total DFT energy (no corrections): -6.63 eV per atom
magnetic moment: 1.8 μB/cell
formation energy: 1.71 eV per formula unit
theoretical density: 6.5 Mg/m³
space-group type: R-3m (166)

Geometry as CIF:
```
data_Y2ThTi
_cell_length_a 11.835
_cell_length_b 11.835
_cell_length_c 11.835
_cell_angle_alpha 16.54
_cell_angle_beta 16.54
_cell_angle_gamma 16.54
_symmetry_space_group_name_H-M 'P 1'
_symmetry_Int_Tables_number 1
_symmetry_space_group_name_Hall 'P 1'
loop_
_atom_site_label
_atom_site_fract_x
_atom_site_fract_y
_atom_site_fract_z
Y1 0.084 0.084 0.084
Y2 0.916 0.916 0.916
Th1 0.500 0.500 0.500
Ti1 0.000 0.000 0.000
```


# 4
Entry from Alexandria: a relaxed RbSbTe2Ir crystal (GGA-PBE).

excess energy over the best structure of this formula in the dataset: 2160.8 meV/atom
total DFT energy (no corrections): -1.87 eV per atom
magnetic moment: 2.8 μB/cell
theoretical density: 4.9 Mg/m³
space-group type: P4/mmm (123)
E_form (uncorrected): 2176.8 meV per atom

Geometry as CIF:
```
data_RbSbTe2Ir
_cell_length_a 6.062
_cell_length_b 6.062
_cell_length_c 5.995
_cell_angle_alpha 90.00
_cell_angle_beta 90.00
_cell_angle_gamma 90.00
_symmetry_space_group_name_H-M 'P 1'
_symmetry_Int_Tables_number 1
_symmetry_space_group_name_Hall 'P 1'
loop_
_atom_site_label
_atom_site_fract_x
_atom_site_fract_y
_atom_site_fract_z
Rb1 0.000 0.000 0.000
Sb1 0.000 0.000 0.500
Te1 0.000 0.500 0.000
Te2 0.500 0.000 0.000
Ir1 0.500 0.500 0.500
```